{
  "formula": "ScVO4",
  "functional": "PBE with a Hubbard U",
  "state": "optimized geometry",
  "cell": [[5.761, 0.016, 0.000], [-2.431, 5.223, 0.000], [-1.665, -2.619, 4.853]],
  "species": ["O", "O", "O", "O", "O", "O", "Sc", "V", "Sc", "O", "V", "O"],
  "fractional_positions": [[0.321, 0.514, 0.194], [0.486, 0.679, 0.806], [0.764, 0.071, 0.694], [0.377, 0.071, 0.306], [0.321, 0.127, 0.806], [0.929, 0.236, 0.306], [0.250, 0.750, 0.500], [0.750, 0.250, 0.500], [0.000, 0.000, 0.000], [0.873, 0.679, 0.194], [0.500, 0.500, 0.000], [0.929, 0.623, 0.694]],
  "sg": "I4_1/amd",
  "magnetic_moment_mub_per_fu": 0.00,
  "e_tot_ev_per_atom": -8.18,
  "vol_a3_per_fu": 73.1
}